1.
DFT (PBE-GGA) results for a relaxed structure of PaI3.

Cell: 14.274 8.228 7.131 Å, 90.00 90.00 90.00°
Space group Cmcm (No. 63)
Inequivalent atoms, fractional coordinates:
Pa 0.000 0.000 0.000
I 0.000 0.309 0.250
I 0.154 0.154 0.750



2.
DFT (PBE-GGA) results for a relaxed structure of PaI.

Cell: 3.5804 3.5804 4.9151 Å, 90.00 90.00 120.00°
Space group P-6m2 (No. 187)
Inequivalent atoms, fractional coordinates:
Pa 0.0000 0.0000 0.0000
I 0.3333 0.6667 0.5000



3.
DFT (PBE-GGA) results for a relaxed structure of RbPaI6.

Cell: 8.3350 8.3350 22.7669 Å, 90.00 90.00 120.00°
Space group R-3m (No. 166, hexagonal axes)
Inequivalent atoms, fractional coordinates:
Rb 0.0000 0.0000 0.0000
Pa 0.0000 0.0000 0.5000
I 0.0005 0.5002 0.0914



4.
DFT (PBE-GGA) results for a relaxed structure of Pa2S4I.

Cell: 4.5468 4.5468 30.6960 Å, 90.00 90.00 120.00°
Space group R-3m (No. 166, hexagonal axes)
Inequivalent atoms, fractional coordinates:
Pa 0.0000 0.0000 0.1050
S 0.0000 0.0000 0.1964
S 0.0000 0.0000 0.4127
I 0.0000 0.0000 0.0000



5.
DFT (PBE-GGA) results for a relaxed structure of SrPa3I.

Cell: 5.688 5.688 5.688 Å, 90.00 90.00 90.00°
Space group Pm-3m (No. 221)
Inequivalent atoms, fractional coordinates:
Sr 0.000 0.000 0.000
Pa 0.000 0.500 0.500
I 0.500 0.500 0.500



6.
DFT (PBE-GGA) results for a relaxed structure of PaTe2I2.

Cell: 7.588 14.073 7.892 Å, 90.00 107.53 90.00°
Space group C2/m (No. 12)
Inequivalent atoms, fractional coordinates:
Pa 0.000 0.136 0.000
Te 0.105 0.000 0.330
Te 0.160 0.500 0.893
I 0.240 0.211 0.759



7.
DFT (PBE-GGA) results for a relaxed structure of PaTe2I8.

Cell: 9.773 13.098 11.267 Å, 90.00 106.59 90.00°
Space group C2/m (No. 12)
Inequivalent atoms, fractional coordinates:
Pa 0.000 0.000 0.000
Te 0.087 0.000 0.421
I 0.102 0.157 0.859
I 0.167 0.500 0.388
I 0.219 0.500 0.806



8.
DFT (PBE-GGA) results for a relaxed structure of PaZn2I8.

Cell: 13.995 10.848 7.068 Å, 90.00 95.02 90.00°
Space group C2/m (No. 12)
Inequivalent atoms, fractional coordinates:
Pa 0.000 0.000 0.000
Zn 0.198 0.000 0.664
I 0.093 0.195 0.765
I 0.127 0.500 0.233
I 0.181 0.000 0.273



no.,E_tot (eV per atom)
1,-4.429
2,-5.670
3,-3.526
4,-6.713
5,-5.315
6,-4.551
7,-3.055
8,-2.924